Be2SbSe (PBE, relaxed); size of the total moment = 0.00 μB/f.u.; calculated total energy = -0.14388 Ha/atom; DOS at the Fermi energy = 2.6 states/eV/f.u.; relative energy among the computed polymorphs = 0.101 eV/atom
1.0
-2.448 2.700 4.102
-4.644 0.219 -2.915
-5.085 -3.137 2.701
Se Sb Be
2 2 4
Cartesian
-6.637 -0.729 0.190
-3.546 1.460 0.594
0.000 0.000 0.000
-5.539 0.511 3.698
-3.295 0.835 2.730
-9.855 0.193 3.168
-4.566 -0.214 -0.489
-6.637 -1.251 2.368